LaCr4Co3O12, relaxed, DFT PBE with a Hubbard U; E = -7.2468 eV per atom; spin magnetization = 18.0 μB per formula unit
1.0
6.465 0.000 0.000
-2.155 6.096 0.000
-2.155 -3.048 5.279
La Cr Co O
1 4 3 12
Direct
0.000 0.000 0.000
0.500 0.000 0.000
0.500 0.500 0.500
0.000 0.500 0.000
0.000 0.000 0.500
0.000 0.500 0.500
0.500 0.500 0.000
0.500 0.000 0.500
0.311 0.828 0.139
0.689 0.172 0.861
0.689 0.828 0.517
0.861 0.689 0.172
0.828 0.139 0.311
0.172 0.483 0.311
0.483 0.311 0.172
0.172 0.861 0.689
0.311 0.172 0.483
0.139 0.311 0.828
0.828 0.517 0.689
0.517 0.689 0.828